1.
A relaxed AcNiSn2Rh crystal, computed with PBE.

Geometry as extended XYZ:
```
5
Lattice="4.641 0.000 0.000 0.000 4.641 0.000 -2.320 -2.320 5.377" Properties=species:S:1:pos:R:3 pbc="T T T"
Ac 0.000 0.000 0.000
Ni 0.000 2.320 2.689
Sn 2.320 2.320 1.500
Sn 0.000 0.000 3.878
Rh 2.320 0.000 2.689
```

Values from the calculation:
Formation energy from the elements   -0.561 eV/atom
Crystal system   tetragonal
Magnetization   0.0 μB per cell

2.
A relaxed Pm3AlIr2 crystal, computed with PBE.

Geometry as extended XYZ:
```
24
Lattice="-1.115 -0.742 3.788 10.865 -5.011 2.216 4.273 10.751 3.362" Properties=species:S:1:pos:R:3 pbc="T T T"
Pm 4.093 -1.420 1.992
Pm 9.930 6.418 7.375
Pm 10.580 -0.242 6.262
Pm 3.444 5.240 3.105
Pm 7.947 -1.529 3.105
Pm 6.077 6.526 6.262
Pm 2.447 1.840 4.276
Pm 11.576 3.158 5.090
Pm 5.964 1.639 3.141
Pm 8.059 3.358 6.225
Pm 9.816 -3.812 5.338
Pm 4.207 8.810 4.028
Al 1.639 0.502 1.646
Al 12.384 4.495 7.721
Al 7.595 0.344 5.499
Al 6.428 4.654 3.868
Ir 9.244 1.554 4.090
Ir 4.779 3.443 5.277
Ir 1.271 -1.300 3.316
Ir 12.752 6.297 6.051
Ir 1.198 3.034 2.012
Ir 12.825 1.964 7.355
Ir 5.590 -1.060 4.634
Ir 8.433 6.057 4.733
```

Values from the calculation:
Formation energy from the elements   -0.652 eV/atom
Crystal system   orthorhombic
Magnetization   0.0 μB per cell

3.
A relaxed K2HgPb crystal, computed with PBE.

Geometry as extended XYZ:
```
4
Lattice="-2.592 -0.225 -4.581 3.488 -3.239 -4.877 -1.017 -6.377 -2.122" Properties=species:S:1:pos:R:3 pbc="T T T"
K 2.786 -2.880 -4.504
K -0.100 -5.790 -5.733
Hg -0.348 -2.685 -2.684
Pb 0.968 -6.645 -9.326
```

Values from the calculation:
Formation energy from the elements   -0.125 eV/atom
Crystal system   monoclinic
Magnetization   0.0 μB per cell

4.
A relaxed Pr5Nd2Y4 crystal, computed with PBE.

Geometry as extended XYZ:
```
11
Lattice="-2.127 2.791 -0.733 -2.325 -3.905 -8.120 -6.899 -5.008 9.716" Properties=species:S:1:pos:R:3 pbc="T T T"
Pr -6.849 -1.382 5.842
Pr -8.252 -3.738 0.943
Pr -3.100 -2.384 -0.082
Pr -4.503 -4.739 -4.980
Pr -1.064 1.396 -0.367
Nd -4.890 -2.982 2.834
Nd -6.462 -3.140 -1.972
Y -0.730 -1.225 -2.548
Y -4.001 -1.639 -3.398
Y -1.595 -2.679 -5.572
Y -7.351 -4.482 4.260
```

Values from the calculation:
Formation energy from the elements   0.182 eV/atom
Crystal system   orthorhombic
Magnetization   0.0 μB per cell

5.
A relaxed SrSnSe2 crystal, computed with PBE.

Geometry as extended XYZ:
```
8
Lattice="-4.651 -0.214 4.788 -4.576 -1.788 -4.524 -3.074 -7.939 1.317" Properties=species:S:1:pos:R:3 pbc="T T T"
Sr -4.613 -1.001 0.132
Sr -6.132 -5.364 -1.538
Sn 0.000 0.000 0.000
Sn -6.169 -4.577 3.119
Se -4.313 -2.345 2.824
Se -4.144 -3.126 -1.967
Se -5.701 -6.680 1.150
Se -10.443 -7.731 1.155
```

Values from the calculation:
Crystal system   tetragonal
Magnetization   0.0 μB per cell
E_form (uncorrected)   -0.9991 eV/atom

6.
A relaxed Tb4Pm2ErTm2 crystal, computed with PBE.

Geometry as extended XYZ:
```
9
Lattice="3.591 0.000 0.000 -1.796 9.304 -0.473 0.000 -3.698 8.800" Properties=species:S:1:pos:R:3 pbc="T T T"
Tb 1.796 3.397 5.592
Tb 0.000 2.209 2.735
Tb 1.796 -0.881 2.881
Tb 0.000 6.487 5.445
Pm 1.796 5.313 2.593
Pm 0.000 0.292 5.733
Er 0.000 0.000 0.000
Tm 0.000 2.510 8.476
Tm 1.796 3.096 -0.150
```

Values from the calculation:
Formation energy from the elements   0.015 eV/atom
Crystal system   monoclinic
Magnetization   0.0 μB per cell

7.
A relaxed Pr5Pa3S8 crystal, computed with PBE.

Geometry as extended XYZ:
```
16
Lattice="6.957 0.000 3.985 2.337 6.553 3.985 -0.007 -0.005 8.078" Properties=species:S:1:pos:R:3 pbc="T T T"
Pr 3.479 0.000 1.993
Pr 4.647 3.277 3.985
Pr 0.000 0.000 0.000
Pr 1.169 3.277 1.993
Pr 4.644 3.274 8.024
Pa 3.475 -0.002 6.032
Pa -0.004 -0.002 4.039
Pa 1.165 3.274 6.032
S 2.318 1.634 7.966
S 3.512 4.980 10.001
S 5.871 1.634 10.001
S 7.009 4.942 11.961
S 6.969 4.914 8.083
S 5.776 1.568 6.048
S 3.417 4.914 6.048
S 2.279 1.606 4.088
```

Values from the calculation:
Crystal system   trigonal
Magnetization   1.9 μB per cell
E_form (uncorrected)   -1.8260 eV/atom

8.
A relaxed TlZn2Fe crystal, computed with PBE.

Geometry as extended XYZ:
```
4
Lattice="4.548 0.000 0.000 2.274 3.939 0.000 2.274 1.313 3.713" Properties=species:S:1:pos:R:3 pbc="T T T"
Fe 4.548 2.626 1.857
Tl 2.274 1.313 0.928
Zn 0.000 0.000 0.000
Zn 6.822 3.939 2.785
```

Values from the calculation:
Formation energy from the elements   0.484 eV/atom
Crystal system   cubic
Magnetization   2.2 μB per cell